1.
VASP calculation (GGA-PBEsol) on a geometry-optimized Cs2RbYI6 structure.

a = 8.9891 Å, b = 8.9891 Å, c = 8.9891 Å
α = 60.00°, β = 60.00°, γ = 60.00°
Positions (direct):
Cs1 0.2500 0.2500 0.2500
Cs2 0.7500 0.7500 0.7500
Rb1 0.0000 0.0000 0.0000
Y1 0.5000 0.5000 0.5000
I1 0.2661 0.2661 0.7339
I2 0.2661 0.7339 0.2661
I3 0.2661 0.7339 0.7339
I4 0.7339 0.2661 0.2661
I5 0.7339 0.2661 0.7339
I6 0.7339 0.7339 0.2661

Calculated volume, Å³ per atom: 51.36
Mass density, g/cm³: 3.9
E_form (uncorrected), kJ per mole of atoms: -139.5


2.
VASP calculation (GGA-PBEsol) on a geometry-optimized Cs3ReI structure.

a = 5.8527 Å, b = 5.8527 Å, c = 5.8527 Å
α = 90.00°, β = 90.00°, γ = 90.00°
Positions (direct):
Cs1 0.0000 0.0000 0.5000
Cs2 0.0000 0.5000 0.0000
Cs3 0.5000 0.0000 0.0000
Re1 0.0000 0.0000 0.0000
I1 0.5000 0.5000 0.5000

Calculated volume, Å³ per atom: 40.10
Mass density, g/cm³: 5.9
E_form (uncorrected), kJ per mole of atoms: 68.7


3.
VASP calculation (GGA-PBEsol) on a geometry-optimized CsReRuI2 structure.

a = 5.3044 Å, b = 5.3044 Å, c = 5.7159 Å
α = 90.00°, β = 90.00°, γ = 90.00°
Positions (direct):
Cs1 0.0000 0.0000 0.0000
Re1 0.0000 0.0000 0.5000
Ru1 0.5000 0.5000 0.0000
I1 0.0000 0.5000 0.5000
I2 0.5000 0.0000 0.5000

Calculated volume, Å³ per atom: 32.17
Mass density, g/cm³: 7.0
E_form (uncorrected), kJ per mole of atoms: 177.1


4.
VASP calculation (GGA-PBEsol) on a geometry-optimized Cs3Re3S4I4 structure.

a = 11.1235 Å, b = 11.1235 Å, c = 11.1235 Å
α = 60.00°, β = 60.00°, γ = 60.00°
Positions (direct):
Cs1 0.0000 0.0000 0.5000
Cs2 0.0000 0.5000 0.0000
Cs3 0.0000 0.5000 0.5000
Cs4 0.5000 0.0000 0.0000
Cs5 0.5000 0.0000 0.5000
Cs6 0.5000 0.5000 0.0000
Re1 0.1171 0.1171 0.8829
Re2 0.1171 0.8829 0.1171
Re3 0.1171 0.8829 0.8829
Re4 0.8829 0.1171 0.1171
Re5 0.8829 0.1171 0.8829
Re6 0.8829 0.8829 0.1171
S1 0.1078 0.1078 0.1078
S2 0.1078 0.1078 0.6765
S3 0.1078 0.6765 0.1078
S4 0.3235 0.8922 0.8922
S5 0.6765 0.1078 0.1078
S6 0.8922 0.3235 0.8922
S7 0.8922 0.8922 0.3235
S8 0.8922 0.8922 0.8922
I1 0.2500 0.2500 0.2500
I2 0.2927 0.2927 0.7073
I3 0.2927 0.7073 0.2927
I4 0.2927 0.7073 0.7073
I5 0.7073 0.2927 0.2927
I6 0.7073 0.2927 0.7073
I7 0.7073 0.7073 0.2927
I8 0.7500 0.7500 0.7500

Calculated volume, Å³ per atom: 34.76
Mass density, g/cm³: 5.4
E_form (uncorrected), kJ per mole of atoms: -96.3


5.
VASP calculation (GGA-PBEsol) on a geometry-optimized CsSbRuI2 structure.

a = 6.8348 Å, b = 6.8348 Å, c = 6.3716 Å
α = 90.00°, β = 90.00°, γ = 90.00°
Positions (direct):
Cs1 0.0000 0.0000 0.0000
Sb1 0.0000 0.0000 0.5000
Ru1 0.5000 0.5000 0.5000
I1 0.0000 0.5000 0.0000
I2 0.5000 0.0000 0.0000

Calculated volume, Å³ per atom: 59.53
Mass density, g/cm³: 3.4
E_form (uncorrected), kJ per mole of atoms: 162.9


6.
VASP calculation (GGA-PBEsol) on a geometry-optimized Cs2SbI structure.

a = 8.0664 Å, b = 8.0664 Å, c = 8.0664 Å
α = 101.34°, β = 101.34°, γ = 127.35°
Positions (direct):
Cs1 0.1149 0.1250 0.4899
Cs2 0.3750 0.8851 0.0101
Cs3 0.6351 0.6250 0.5101
Cs4 0.8750 0.3649 0.9899
Sb1 0.2500 0.7500 0.5000
Sb2 0.5000 0.5000 0.0000
I1 0.0000 0.0000 0.0000
I2 0.7500 0.2500 0.5000

Calculated volume, Å³ per atom: 46.74
Mass density, g/cm³: 4.6
E_form (uncorrected), kJ per mole of atoms: -45.0